DFT (PBE) results for crystalline Cd2NiI at its relaxed geometry. Values from VASP.

* energy above the lowest structure with this stoichiometry: 0.0 meV per atom
* energy: -1.991 eV per atom
* formation energy (no corrections): 0.30 eV/atom
* symmetry: I-42d

```
&SYSTEM
  ibrav = 0, nat = 8, ntyp = 3
/
ATOMIC_SPECIES
Cd 112.41 Cd.upf
Ni 58.69 Ni.upf
I 126.90 I.upf
ATOMIC_POSITIONS crystal
Cd 0.375 0.249 0.374
Cd 0.751 0.125 0.126
Cd 0.875 0.001 0.626
Cd 0.999 0.625 0.874
Ni 0.000 0.000 0.000
Ni 0.750 0.250 0.500
I 0.250 0.750 0.500
I 0.500 0.500 0.000
CELL_PARAMETERS angstrom
-2.646 2.646 8.493
2.646 -2.646 8.493
2.646 2.646 -8.493
```



DFT (PBE) results for crystalline Mg5Cu at its relaxed geometry. Values from VASP.

* energy relative to the elements: 0.1 eV per formula unit
* energy above the lowest structure with this stoichiometry: 29.1 meV per atom
* energy: -1.995 eV per atom
* symmetry: Cmmm

```
&SYSTEM
  ibrav = 0, nat = 6, ntyp = 2
/
ATOMIC_SPECIES
Mg 24.30 Mg.upf
Cu 63.55 Cu.upf
ATOMIC_POSITIONS crystal
Mg 0.000 0.000 0.000
Mg 0.157 0.843 0.500
Mg 0.343 0.657 0.000
Mg 0.657 0.343 0.000
Mg 0.843 0.157 0.500
Cu 0.500 0.500 0.500
CELL_PARAMETERS angstrom
2.233 -6.129 0.000
2.233 6.129 0.000
0.000 0.000 4.410
```



DFT (PBE) results for crystalline NaZnNiHg2 at its relaxed geometry. Values from VASP.

* energy relative to the elements: -0.1 eV per formula unit
* energy: -1.810 eV per atom
* symmetry: P4/mmm

```
&SYSTEM
  ibrav = 0, nat = 5, ntyp = 4
/
ATOMIC_SPECIES
Na 22.99 Na.upf
Zn 65.41 Zn.upf
Ni 58.69 Ni.upf
Hg 200.59 Hg.upf
ATOMIC_POSITIONS crystal
Na 0.000 0.000 0.000
Zn 0.500 0.500 0.000
Ni 0.500 0.500 0.500
Hg 0.000 0.500 0.500
Hg 0.500 0.000 0.500
CELL_PARAMETERS angstrom
5.067 0.000 0.000
0.000 5.067 0.000
0.000 0.000 4.661
```



DFT (PBE) results for crystalline LiIn3Sb at its relaxed geometry. Values from VASP.

* energy above the lowest structure with this stoichiometry: 0.0 meV per atom
* energy: -2.664 eV per atom
* formation energy (no corrections): 0.19 eV/atom
* symmetry: Pm-3m

```
&SYSTEM
  ibrav = 0, nat = 5, ntyp = 3
/
ATOMIC_SPECIES
Li 6.94 Li.upf
In 114.82 In.upf
Sb 121.76 Sb.upf
ATOMIC_POSITIONS crystal
Li 0.000 0.000 0.000
In 0.000 0.000 0.500
In 0.000 0.500 0.000
In 0.500 0.000 0.000
Sb 0.500 0.500 0.500
CELL_PARAMETERS angstrom
5.112 0.000 0.000
0.000 5.112 0.000
0.000 0.000 5.112
```



Which of these has the highest energy?
NaZnNiHg2



Look up the energy of the fourth one.
-2.664 eV per atom



Look up the energy of the first one.
-1.991 eV per atom